(1)
Compound: Cs2ZrAg2Te2Se2
Source: the Open Quantum Materials Database
Functional: GGA-PBE
Structure: optimized geometry

a = 6.485 Å, b = 14.909 Å, c = 6.477 Å
α = 90.00°, β = 91.40°, γ = 90.00°
Space group C2 (No. 5)
Symmetry-distinct sites (fractional):
Cs  0.245  0.000  0.238
Zr  0.000  0.737  0.500
Ag  0.000  0.237  0.500
Ag  0.000  0.739  0.000
Te  0.250  0.347  0.252
Se  0.224  0.637  0.276

Values from the calculation:
* electronic total energy: -74.7 eV per cell

(2)
Compound: CsTmAgSe3
Source: the Open Quantum Materials Database
Functional: GGA-PBE
Structure: optimized geometry

a = 4.096 Å, b = 16.266 Å, c = 10.768 Å
α = 90.00°, β = 90.00°, γ = 90.00°
Space group Cmcm (No. 63)
Symmetry-distinct sites (fractional):
Cs  0.000  0.249  0.250
Tm  0.000  0.500  0.000
Ag  0.000  0.039  0.750
Se  0.000  0.119  0.541
Se  0.000  0.436  0.750

Values from the calculation:
* electronic total energy: -101.5 eV per cell

(3)
Compound: CsAgWSe3
Source: the Open Quantum Materials Database
Functional: GGA-PBE
Structure: optimized geometry

a = 3.986 Å, b = 16.152 Å, c = 10.255 Å
α = 90.00°, β = 90.00°, γ = 90.00°
Space group Cmcm (No. 63)
Symmetry-distinct sites (fractional):
Cs  0.000  0.243  0.250
Ag  0.000  0.457  0.750
W  0.000  0.000  0.000
Se  0.000  0.063  0.750
Se  0.000  0.393  0.524

Values from the calculation:
* electronic total energy: -115.2 eV per cell

(4)
Compound: Cs2ZrAg2Se4
Source: the Open Quantum Materials Database
Functional: GGA-PBE
Structure: optimized geometry

a = 14.624 Å, b = 6.370 Å, c = 6.356 Å
α = 90.00°, β = 90.08°, γ = 90.00°
Space group C2 (No. 5)
Symmetry-distinct sites (fractional):
Cs  0.250  0.000  0.236
Zr  0.000  0.248  0.500
Ag  0.000  0.250  0.000
Ag  0.000  0.748  0.500
Se  0.103  0.018  0.731
Se  0.104  0.479  0.271

Values from the calculation:
* electronic total energy: -78.0 eV per cell